#A
SiRuN2F | PBE-GGA | optimized geometry

Results
The spin magnetization comes out at 0.0 μB/f.u.

Lattice parameters (Å, degrees): 3.8583 3.8583 4.1778 90.00 90.00 90.00
Fractional coordinates of all 5 atoms:
Si1 0.0000 0.0000 0.0000
Ru1 0.5000 0.5000 0.5000
N1 0.0000 0.5000 0.5000
N2 0.5000 0.0000 0.5000
F1 0.5000 0.5000 0.0000

***

#B
SiRuN2F | PBE-GGA | optimized geometry

Results
The spin magnetization comes out at 1.7 μB/f.u.

Lattice parameters (Å, degrees): 3.7058 3.7058 3.4276 90.00 90.00 90.00
Fractional coordinates of all 5 atoms:
Si1 0.0000 0.0000 0.0000
Ru1 0.5000 0.5000 0.5000
N1 0.0000 0.5000 0.0000
N2 0.5000 0.0000 0.0000
F1 0.0000 0.0000 0.5000

***

Stability ranking, top and bottom: #B is the most stable and #A is the least stable.

***

#A
SnRuN2F | PBE-GGA | optimized geometry

Results
The spin magnetization comes out at 3.0 μB/f.u.

Lattice parameters (Å, degrees): 4.1771 4.1771 4.0287 90.00 90.00 90.00
Fractional coordinates of all 5 atoms:
Sn1 0.0000 0.0000 0.0000
Ru1 0.5000 0.5000 0.5000
N1 0.0000 0.5000 0.0000
N2 0.5000 0.0000 0.0000
F1 0.0000 0.0000 0.5000

***

#B
SnRuN2F | PBE-GGA | optimized geometry

Results
The spin magnetization comes out at 0.3 μB/f.u.

Lattice parameters (Å, degrees): 3.9322 3.9322 4.5326 90.00 90.00 90.00
Fractional coordinates of all 5 atoms:
Sn1 0.0000 0.0000 0.0000
Ru1 0.5000 0.5000 0.5000
N1 0.0000 0.5000 0.5000
N2 0.5000 0.0000 0.5000
F1 0.5000 0.5000 0.0000

***

Stability ranking, top and bottom: #B is the most stable and #A is the least stable.

***

#A
SrRuN2F | PBE-GGA | optimized geometry

Results
The spin magnetization comes out at 2.6 μB/f.u.

Lattice parameters (Å, degrees): 4.6184 4.6184 4.3976 90.00 90.00 90.00
Fractional coordinates of all 5 atoms:
Sr1 0.0000 0.0000 0.0000
Ru1 0.5000 0.5000 0.5000
N1 0.0000 0.5000 0.0000
N2 0.5000 0.0000 0.0000
F1 0.0000 0.0000 0.5000

***

#B
SrRuN2F | PBE-GGA | optimized geometry

Results
The spin magnetization comes out at 0.0 μB/f.u.

Lattice parameters (Å, degrees): 3.8513 3.8513 4.6894 90.00 90.00 90.00
Fractional coordinates of all 5 atoms:
Sr1 0.0000 0.0000 0.0000
Ru1 0.5000 0.5000 0.5000
N1 0.0000 0.5000 0.5000
N2 0.5000 0.0000 0.5000
F1 0.5000 0.5000 0.0000

***

Stability ranking, top and bottom: #B is the most stable and #A is the least stable.

***

#A
SrRuNF2 | PBE-GGA | optimized geometry

Results
The spin magnetization comes out at 0.0 μB/f.u.

Lattice parameters (Å, degrees): 4.4031 4.4031 3.8042 90.00 90.00 90.00
Fractional coordinates of all 5 atoms:
Sr1 0.0000 0.0000 0.0000
Ru1 0.5000 0.5000 0.5000
N1 0.5000 0.5000 0.0000
F1 0.0000 0.5000 0.5000
F2 0.5000 0.0000 0.5000

***

#B
SrRuNF2 | PBE-GGA | optimized geometry

Results
The spin magnetization comes out at 5.0 μB/f.u.

Lattice parameters (Å, degrees): 4.4690 4.4690 5.2240 90.00 90.00 90.00
Fractional coordinates of all 5 atoms:
Sr1 0.0000 0.0000 0.0000
Ru1 0.5000 0.5000 0.5000
N1 0.0000 0.0000 0.5000
F1 0.0000 0.5000 0.0000
F2 0.5000 0.0000 0.0000

***

Stability ranking, top and bottom: #A is the most stable and #B is the least stable.

***

#A
TaRuNF2 | PBE-GGA | optimized geometry

Results
The spin magnetization comes out at 2.3 μB/f.u.

Lattice parameters (Å, degrees): 4.1039 4.1039 4.0629 90.00 90.00 90.00
Fractional coordinates of all 5 atoms:
Ta1 0.0000 0.0000 0.0000
Ru1 0.5000 0.5000 0.5000
N1 0.0000 0.0000 0.5000
F1 0.0000 0.5000 0.0000
F2 0.5000 0.0000 0.0000

***

#B
TaRuNF2 | PBE-GGA | optimized geometry

Results
The spin magnetization comes out at 2.6 μB/f.u.

Lattice parameters (Å, degrees): 4.2874 4.2874 3.7409 90.00 90.00 90.00
Fractional coordinates of all 5 atoms:
Ta1 0.0000 0.0000 0.0000
Ru1 0.5000 0.5000 0.5000
N1 0.5000 0.5000 0.0000
F1 0.0000 0.5000 0.5000
F2 0.5000 0.0000 0.5000

***

Stability ranking, top and bottom: #A is the most stable and #B is the least stable.

***

#A
TcRuN2F | PBE-GGA | optimized geometry

Results
The spin magnetization comes out at 3.7 μB/f.u.

Lattice parameters (Å, degrees): 3.8723 3.8723 4.1441 90.00 90.00 90.00
Fractional coordinates of all 5 atoms:
Tc1 0.0000 0.0000 0.0000
Ru1 0.5000 0.5000 0.5000
N1 0.0000 0.5000 0.5000
N2 0.5000 0.0000 0.5000
F1 0.5000 0.5000 0.0000

***

#B
TcRuN2F | PBE-GGA | optimized geometry

Results
The spin magnetization comes out at 3.0 μB/f.u.

Lattice parameters (Å, degrees): 3.8901 3.8901 4.0697 90.00 90.00 90.00
Fractional coordinates of all 5 atoms:
Tc1 0.0000 0.0000 0.0000
Ru1 0.5000 0.5000 0.5000
N1 0.0000 0.5000 0.0000
N2 0.5000 0.0000 0.0000
F1 0.0000 0.0000 0.5000

***

Stability ranking, top and bottom: #B is the most stable and #A is the least stable.